Crystalline TaNiB2O at its relaxed geometry. Source: Alexandria, functional PBE+U.

Unit cell a=4.2233 b=4.2233 c=4.6876 alpha=90.00 beta=90.00 gamma=90.00
Closest atoms and distances in Å follow each position.
Element x y z (fractional)
Ta: 0.0000 0.0000 0.0000  4 B 2.11, 2 Ni 2.34
Ni: 0.0000 0.0000 0.5000  2 Ta 2.34
B: 0.0000 0.5000 0.0000  2 Ta 2.11
B: 0.5000 0.0000 0.0000  2 Ta 2.11
O: 0.5000 0.5000 0.5000  4 Ni 2.99, 8 B 3.15

Computed properties:
Density of states at the Fermi level   5.18 states/eV/cell
VASP energy   -20.89 eV/f.u.
Total magnetization   0.00 μB per atom